Entry 1:
The following is a DFT calculation (PBE) of a relaxed NaTi3V crystal.

Unit cell a=4.7106 b=4.7106 c=4.7106 alpha=90.00 beta=90.00 gamma=90.00
Element x y z (fractional)
Na1 0.0000 0.0000 0.0000
Ti1 0.0000 0.5000 0.5000
Ti2 0.5000 0.0000 0.5000
Ti3 0.5000 0.5000 0.0000
V1 0.5000 0.5000 0.5000

N(E_F)   1.74 states/eV per atom
Energy above the lowest structure with this stoichiometry   0 meV per atom
Symmetry   No. 221
Calculated formation energy   0.82 eV per atom


Entry 2:
The following is a DFT calculation (PBE) of a relaxed Dy8Te3CSe3 crystal.

Unit cell a=8.4743 b=8.4743 c=8.4743 alpha=57.92 beta=57.92 gamma=57.92
Element x y z (fractional)
Dy1 0.2382 0.2382 0.2382
Dy2 0.2752 0.7108 0.7108
Dy3 0.2892 0.2892 0.7248
Dy4 0.2892 0.7248 0.2892
Dy5 0.7108 0.2752 0.7108
Dy6 0.7108 0.7108 0.2752
Dy7 0.7248 0.2892 0.2892
Dy8 0.7618 0.7618 0.7618
Te1 0.0000 0.5000 0.5000
Te2 0.5000 0.0000 0.5000
Te3 0.5000 0.5000 0.0000
C1 0.5000 0.5000 0.5000
Se1 0.0000 0.0000 0.5000
Se2 0.0000 0.5000 0.0000
Se3 0.5000 0.0000 0.0000

Formation energy without anion corrections   -1.274 eV/atom
N(E_F)   0.58 states/eV per atom
Symmetry   No. 166


Entry 3:
The following is a DFT calculation (PBE) of a relaxed SnSBrN2 crystal.

Unit cell a=4.1507 b=4.1507 c=5.6141 alpha=90.00 beta=90.00 gamma=90.00
Element x y z (fractional)
Sn1 0.0000 0.0000 0.0000
S1 0.0000 0.0000 0.5000
Br1 0.5000 0.5000 0.5000
N1 0.0000 0.5000 0.0000
N2 0.5000 0.0000 0.0000

Formation energy without anion corrections   1.396 eV/atom
N(E_F)   0.42 states/eV per atom
Energy above the lowest structure with this stoichiometry   0 meV per atom
Symmetry   No. 123


Entry 4:
The following is a DFT calculation (PBE) of a relaxed NiMo3Pt crystal.

Unit cell a=4.7461 b=4.7461 c=4.7461 alpha=90.00 beta=90.00 gamma=90.00
Element x y z (fractional)
Ni1 0.0000 0.0000 0.0000
Mo1 0.0000 0.5000 0.5000
Mo2 0.5000 0.0000 0.5000
Mo3 0.5000 0.5000 0.0000
Pt1 0.5000 0.5000 0.5000

N(E_F)   1.62 states/eV per atom
Energy above the lowest structure with this stoichiometry   832 meV per atom
Symmetry   No. 221
Calculated formation energy   2.02 eV per atom


Entry 5:
The following is a DFT calculation (PBE) of a relaxed LaThTc crystal.

Unit cell a=4.6755 b=4.6755 c=9.2691 alpha=104.62 beta=104.62 gamma=60.32
Element x y z (fractional)
La1 0.1323 0.1323 0.3932
La2 0.8677 0.8677 0.6068
Th1 0.2902 0.2902 0.8721
Th2 0.7098 0.7098 0.1279
Tc1 0.4089 0.4089 0.2233
Tc2 0.5911 0.5911 0.7767

N(E_F)   0.81 states/eV per atom
Energy above the lowest structure with this stoichiometry   46 meV per atom
Symmetry   No. 12
Calculated formation energy   0.03 eV per atom


Entry 6:
The following is a DFT calculation (PBE) of a relaxed Ti5ZnTc4 crystal.

Unit cell a=3.1333 b=3.1333 c=15.4723 alpha=90.00 beta=90.00 gamma=90.00
Element x y z (fractional)
Ti1 0.0000 0.0000 0.0000
Ti2 0.0000 0.0000 0.1986
Ti3 0.0000 0.0000 0.3920
Ti4 0.0000 0.0000 0.6080
Ti5 0.0000 0.0000 0.8014
Zn1 0.5000 0.5000 0.5000
Tc1 0.5000 0.5000 0.1003
Tc2 0.5000 0.5000 0.3024
Tc3 0.5000 0.5000 0.6976
Tc4 0.5000 0.5000 0.8997

N(E_F)   1.02 states/eV per atom
Symmetry   No. 123
Calculated formation energy   -0.46 eV per atom


Entry 7:
The following is a DFT calculation (PBE) of a relaxed AcIn2AgAu4 crystal.

Unit cell a=9.7276 b=9.7276 c=9.7276 alpha=28.25 beta=28.25 gamma=28.25
Element x y z (fractional)
Ac1 0.0000 0.0000 0.0000
In1 0.2381 0.2381 0.2381
In2 0.7619 0.7619 0.7619
Ag1 0.5000 0.5000 0.5000
Au1 0.1311 0.1311 0.1311
Au2 0.3952 0.3952 0.3952
Au3 0.6048 0.6048 0.6048
Au4 0.8689 0.8689 0.8689

N(E_F)   0.44 states/eV per atom
Symmetry   No. 166
Calculated formation energy   -0.40 eV per atom


Entry 8:
The following is a DFT calculation (PBE) of a relaxed Nd2GdMg crystal.

Unit cell a=5.6286 b=5.6286 c=5.6286 alpha=60.00 beta=60.00 gamma=60.00
Element x y z (fractional)
Nd1 0.2500 0.2500 0.2500
Nd2 0.7500 0.7500 0.7500
Gd1 0.0000 0.0000 0.0000
Mg1 0.5000 0.5000 0.5000

N(E_F)   1.49 states/eV per atom
Energy above the lowest structure with this stoichiometry   58 meV per atom
Symmetry   No. 225
Calculated formation energy   0.02 eV per atom


Entry 9:
The following is a DFT calculation (PBE) of a relaxed Ho4GaBiC crystal.

Unit cell a=8.5166 b=8.5166 c=6.7406 alpha=90.00 beta=90.00 gamma=133.42
Element x y z (fractional)
Ho1 0.0000 0.5000 0.0000
Ho2 0.0000 0.5000 0.5000
Ho3 0.0836 0.9164 0.7500
Ho4 0.4045 0.5955 0.7500
Ho5 0.5000 0.0000 0.0000
Ho6 0.5000 0.0000 0.5000
Ho7 0.5955 0.4045 0.2500
Ho8 0.9164 0.0836 0.2500
Ga1 0.1168 0.8832 0.2500
Ga2 0.8832 0.1168 0.7500
Bi1 0.3949 0.6051 0.2500
Bi2 0.6051 0.3949 0.7500
C1 0.2486 0.7514 0.7500
C2 0.7514 0.2486 0.2500

N(E_F)   0.18 states/eV per atom
Symmetry   No. 63
Calculated formation energy   -0.57 eV per atom


Entry 10:
The following is a DFT calculation (PBE) of a relaxed BeSbOs2 crystal.

Unit cell a=4.6114 b=4.6114 c=4.8558 alpha=108.71 beta=108.71 gamma=38.58
Element x y z (fractional)
Be1 0.0000 0.0000 0.0000
Sb1 0.7537 0.7537 0.4205
Os1 0.2805 0.2805 0.9933
Os2 0.5252 0.5252 0.6483

Formation energy without anion corrections   0.365 eV/atom
N(E_F)   0.64 states/eV per atom
Energy above the lowest structure with this stoichiometry   52 meV per atom
Symmetry   No. 8


Entry 11:
The following is a DFT calculation (PBE) of a relaxed Np2Ge2Ir3 crystal.

Unit cell a=12.2545 b=12.2545 c=12.2545 alpha=166.68 beta=162.19 gamma=22.31
Element x y z (fractional)
Np1 0.1499 0.1499 0.0000
Np2 0.8501 0.8501 0.0000
Ge1 0.4447 0.9447 0.5000
Ge2 0.5553 0.0553 0.5000
Ir1 0.0000 0.5000 0.5000
Ir2 0.2821 0.2821 0.0000
Ir3 0.7179 0.7179 0.0000

N(E_F)   1.84 states/eV per atom
Symmetry   No. 71
Calculated formation energy   -0.07 eV per atom


Entry 12:
The following is a DFT calculation (PBE) of a relaxed Zr2Au2F crystal.

Unit cell a=6.3597 b=6.3597 c=4.6560 alpha=90.00 beta=90.00 gamma=90.00
Element x y z (fractional)
Zr1 0.1665 0.3335 0.0000
Zr2 0.3335 0.8335 0.0000
Zr3 0.6665 0.1665 0.0000
Zr4 0.8335 0.6665 0.0000
Au1 0.1541 0.6541 0.5000
Au2 0.3459 0.1541 0.5000
Au3 0.6541 0.8459 0.5000
Au4 0.8459 0.3459 0.5000
F1 0.0000 0.0000 0.0000
F2 0.5000 0.5000 0.0000

Formation energy without anion corrections   -1.029 eV/atom
N(E_F)   0.66 states/eV per atom
Symmetry   No. 127


Entry 13:
The following is a DFT calculation (PBE) of a relaxed CeDyYSe3 crystal.

Unit cell a=7.9589 b=4.0686 c=10.2676 alpha=90.00 beta=102.74 gamma=90.00
Element x y z (fractional)
Ce1 0.1843 0.2500 0.2080
Ce2 0.8157 0.7500 0.7920
Dy1 0.3327 0.7500 0.9098
Dy2 0.6673 0.2500 0.0902
Y1 0.1727 0.2500 0.6205
Y2 0.8273 0.7500 0.3795
Se1 0.0870 0.2500 0.8877
Se2 0.2042 0.7500 0.4363
Se3 0.4756 0.7500 0.1928
Se4 0.5244 0.2500 0.8072
Se5 0.7958 0.2500 0.5637
Se6 0.9130 0.7500 0.1123

Formation energy without anion corrections   -1.616 eV/atom
N(E_F)   1.46 states/eV per atom
Symmetry   No. 11


Entry 14:
The following is a DFT calculation (PBE) of a relaxed Al2Cl crystal.

Unit cell a=4.9163 b=4.9163 c=4.9163 alpha=60.00 beta=60.00 gamma=60.00
Element x y z (fractional)
Al1 0.2500 0.2500 0.2500
Al2 0.7500 0.7500 0.7500
Cl1 0.0000 0.0000 0.0000

Formation energy without anion corrections   0.493 eV/atom
N(E_F)   0.41 states/eV per atom
Energy above the lowest structure with this stoichiometry   942 meV per atom
Symmetry   No. 225


Entry 15:
The following is a DFT calculation (PBE) of a relaxed TmLuRu2 crystal.

Unit cell a=4.7292 b=4.7292 c=4.7292 alpha=60.00 beta=60.00 gamma=60.00
Element x y z (fractional)
Tm1 0.0000 0.0000 0.0000
Lu1 0.5000 0.5000 0.5000
Ru1 0.2500 0.2500 0.2500
Ru2 0.7500 0.7500 0.7500

N(E_F)   1.08 states/eV per atom
Symmetry   No. 225
Calculated formation energy   -0.44 eV per atom


Entry 16:
The following is a DFT calculation (PBE) of a relaxed Hf2Al2Hg crystal.

Unit cell a=6.7922 b=6.7922 c=4.1815 alpha=90.00 beta=90.00 gamma=90.00
Element x y z (fractional)
Hf1 0.1660 0.3340 0.0000
Hf2 0.3340 0.8340 0.0000
Hf3 0.6660 0.1660 0.0000
Hf4 0.8340 0.6660 0.0000
Al1 0.1304 0.6304 0.5000
Al2 0.3696 0.1304 0.5000
Al3 0.6304 0.8696 0.5000
Al4 0.8696 0.3696 0.5000
Hg1 0.0000 0.0000 0.5000
Hg2 0.5000 0.5000 0.5000

N(E_F)   0.55 states/eV per atom
Symmetry   No. 127
Calculated formation energy   -0.23 eV per atom


Entry 17:
The following is a DFT calculation (PBE) of a relaxed Li2ZrNbTc crystal.

Unit cell a=4.4349 b=4.4349 c=4.8884 alpha=90.00 beta=90.00 gamma=90.00
Element x y z (fractional)
Li1 0.0000 0.5000 0.0000
Li2 0.5000 0.0000 0.0000
Zr1 0.0000 0.0000 0.5000
Nb1 0.0000 0.0000 0.0000
Tc1 0.5000 0.5000 0.5000

N(E_F)   2.19 states/eV per atom
Energy above the lowest structure with this stoichiometry   261 meV per atom
Symmetry   No. 123
Calculated formation energy   1.69 eV per atom


Entry 18:
The following is a DFT calculation (PBE) of a relaxed La2HfAg crystal.

Unit cell a=5.4162 b=5.4162 c=5.4162 alpha=60.00 beta=60.00 gamma=60.00
Element x y z (fractional)
La1 0.2500 0.2500 0.2500
La2 0.7500 0.7500 0.7500
Hf1 0.0000 0.0000 0.0000
Ag1 0.5000 0.5000 0.5000

N(E_F)   1.14 states/eV per atom
Energy above the lowest structure with this stoichiometry   175 meV per atom
Symmetry   No. 225
Calculated formation energy   0.20 eV per atom


Entry 19:
The following is a DFT calculation (PBE) of a relaxed KNaICl crystal.

Unit cell a=5.6219 b=5.6219 c=5.6219 alpha=60.00 beta=60.00 gamma=60.00
Element x y z (fractional)
K1 0.0000 0.0000 0.0000
Na1 0.5000 0.5000 0.5000
I1 0.7500 0.7500 0.7500
Cl1 0.2500 0.2500 0.2500

Formation energy without anion corrections   -1.453 eV/atom
N(E_F)   0.00 states/eV per atom
Energy above the lowest structure with this stoichiometry   118 meV per atom
Symmetry   No. 216


Entry 20:
The following is a DFT calculation (PBE) of a relaxed SrLiTbI6 crystal.

Unit cell a=7.7472 b=7.7472 c=14.4321 alpha=90.00 beta=90.00 gamma=120.00
Element x y z (fractional)
Sr1 0.0000 0.0000 0.0000
Sr2 0.0000 0.0000 0.5000
Li1 0.3333 0.6667 0.2500
Li2 0.6667 0.3333 0.7500
Tb1 0.3333 0.6667 0.7500
Tb2 0.6667 0.3333 0.2500
I1 0.0028 0.3559 0.1306
I2 0.0028 0.6469 0.3694
I3 0.3531 0.3559 0.3694
I4 0.3531 0.9972 0.1306
I5 0.3559 0.0028 0.6306
I6 0.3559 0.3531 0.8694
I7 0.6441 0.6469 0.1306
I8 0.6441 0.9972 0.3694
I9 0.6469 0.0028 0.8694
I10 0.6469 0.6441 0.6306
I11 0.9972 0.3531 0.6306
I12 0.9972 0.6441 0.8694

Formation energy without anion corrections   -1.425 eV/atom
N(E_F)   0.00 states/eV per atom
Symmetry   No. 163


Looking at E for the records above, in order, we have -6.0089; -5.6686; -3.8946; -6.8464; -7.5421; -8.6768; -3.5969; -6.2788; -5.4864; -7.2124; -8.8816; -6.1331; -6.1918; -2.6175; -7.3285; -5.7668; -4.8685; -5.4686; -2.9061; -3.3727 eV/atom.